ThBe2GaRh2: relaxed, PBE.

a b c (Å): 4.1085 4.1085 5.7166
angles (deg): 90.00 90.00 90.00
Last column: nearest neighbours and their distance in Å.
Space group P4/mmm (No. 123)
Symmetry-distinct sites (fractional):
Th: 0.0000 0.0000 0.0000 x1  2 Ga 2.86
Be: 0.0000 0.5000 0.5000 x2  2 Ga 2.05
Ga: 0.0000 0.0000 0.5000 x1  4 Be 2.05
Rh: 0.5000 0.5000 0.2563 x2  4 Be 2.48

* formation energy: -0.133 eV/atom
* DOS(E_F): 2.8 states/eV per cell
* theoretical density: 9.04 Mg/m³